No. 1
Material: Np2Ni3Ge4Au
Method: DFT, PBE
State: optimized geometry

Properties
The formation energy comes out at -0.312 eV/atom. As for the total magnetization: 7.6 μB per cell. The volume comes out at 17.121 Å³/atom. As for the space-group type: P-4m2 (115). The crystal system is tetragonal.

abc: 4.162 4.162 9.883
angles: 90.00 90.00 90.00
Each line ends with the local moment (μB).
Atoms (fractional coordinates):
Ge1 0.000 0.000 0.000  -0.02
Ge2 0.500 0.000 0.650  -0.03
Ni1 0.500 0.000 0.883  0.01
Au1 0.500 0.500 0.500  -0.01
Np1 0.000 0.500 0.758  3.69
Ni2 0.000 0.500 0.117  0.01
Np2 0.500 0.000 0.242  3.69
Ge3 0.500 0.500 0.000  -0.02
Ni3 0.000 0.000 0.500  -0.03
Ge4 0.000 0.500 0.350  -0.03

***

No. 2
Material: VTe3
Method: DFT, PBE
State: optimized geometry

Properties
As for the total magnetization: 0.0 μB per cell. The volume comes out at 32.049 Å³/atom. As for the space-group type: Imm2 (44). The crystal system is orthorhombic. The raw formation energy comes out at -0.115 eV/atom.

abc: 3.279 6.227 7.197
angles: 115.63 103.17 90.00
Atoms (fractional coordinates):
Te1 0.500 0.380 0.000
Te2 0.355 0.728 0.709
Te3 0.645 0.019 0.291
V1 0.000 0.040 0.000

***

No. 3
Material: LiNi2Sb
Method: DFT, PBE
State: optimized geometry

Properties
As for the total magnetization: 0.0 μB per cell. The volume comes out at 14.949 Å³/atom. As for the space-group type: Amm2 (38). The crystal system is orthorhombic. The raw formation energy comes out at -0.113 eV/atom.

abc: 4.028 3.265 4.830
angles: 70.27 90.00 90.00
Atoms (fractional coordinates):
Li1 0.500 0.768 0.839
Ni1 0.000 0.203 0.968
Ni2 0.500 0.049 0.280
Sb1 0.000 0.481 0.413

***

No. 4
Material: LaSmHo2Hg4
Method: DFT, PBE
State: optimized geometry

Properties
The formation energy comes out at -0.469 eV/atom. As for the total magnetization: 1.0 μB per cell. The volume comes out at 27.135 Å³/atom. As for the space-group type: R-3m (166). The crystal system is trigonal.

abc: 5.347 5.347 9.294
angles: 73.28 73.28 60.00
Each line ends with the local moment (μB).
Atoms (fractional coordinates):
Ho1 0.249 0.249 0.252  0.16
Hg1 0.377 0.377 0.868  0.01
Hg2 0.127 0.127 0.620  0.01
Hg3 0.623 0.623 0.132  0.01
La1 0.000 0.000 0.000  0.12
Sm1 0.500 0.500 0.500  0.10
Hg4 0.873 0.873 0.380  0.01
Ho2 0.751 0.751 0.748  0.16

***

No. 5
Material: Sc2Pd2Pt3
Method: DFT, PBE
State: optimized geometry

Properties
The formation energy comes out at -0.826 eV/atom. As for the total magnetization: 0.0 μB per cell. The volume comes out at 17.113 Å³/atom. As for the space-group type: C2/m (12). The crystal system is monoclinic.

abc: 4.529 4.547 7.208
angles: 90.35 108.31 119.86
Atoms (fractional coordinates):
Pt1 0.459 0.731 0.186
Pt2 0.541 0.269 0.814
Sc1 0.176 0.588 0.765
Pt3 0.000 0.000 0.000
Pd1 0.727 0.863 0.592
Pd2 0.273 0.137 0.408
Sc2 0.824 0.412 0.235

***

No. 6
Material: Y3Re2Si4
Method: DFT, PBE
State: optimized geometry

Properties
As for the total magnetization: 0.0 μB per cell. The volume comes out at 19.293 Å³/atom. As for the space-group type: C2/m (12). The crystal system is monoclinic. The raw formation energy comes out at -0.620 eV/atom.

abc: 4.204 5.791 8.131
angles: 108.33 90.00 111.28
Atoms (fractional coordinates):
Y1 0.000 0.000 0.000
Si1 0.286 0.572 0.924
Y2 0.621 0.242 0.700
Re1 0.320 0.639 0.648
Si2 0.714 0.428 0.076
Si3 0.902 0.805 0.582
Si4 0.098 0.195 0.418
Re2 0.680 0.361 0.352
Y3 0.379 0.758 0.300

***

What is the formula in the fifth record? Sc2Pd2Pt3